Material: InFeCo2N
Method: DFT, GGA-PBE
State: relaxed

Unit cell a=3.862 b=3.862 c=3.874 alpha=90.00 beta=90.00 gamma=90.00
Each line ends with the local moment (μB).
Element x y z (fractional)
In: 0.500 0.500 0.500  -0.09
N: 0.000 0.000 0.000  0.05
Co: 0.500 0.000 0.000  0.85
Co: 0.000 0.500 0.000  0.85
Fe: 0.000 0.000 0.500  1.88

For the volume, the calculation gives 57.8 Å³/cell. The value obtained for the raw total energy is -6.778 eV per atom. The value obtained for the energy relative to the elements, uncorrected is -30 meV per atom. Its symmetry is P4/mmm.


Material: InFe2CoN
Method: DFT, GGA-PBE
State: relaxed

Unit cell a=3.863 b=3.863 c=3.921 alpha=90.00 beta=90.00 gamma=90.00
Each line ends with the local moment (μB).
Element x y z (fractional)
In: 0.500 0.500 0.500  -0.11
Co: 0.000 0.000 0.500  0.67
N: 0.000 0.000 0.000  0.02
Fe: 0.000 0.500 0.000  1.97
Fe: 0.500 0.000 0.000  1.97

For the volume, the calculation gives 58.5 Å³/cell. The value obtained for the raw total energy is -7.053 eV per atom. The value obtained for the energy relative to the elements, uncorrected is -34 meV per atom. Its symmetry is P4/mmm.


- What is the energy relative to the elements, uncorrected in the first record?
  -30 meV per atom


- What is the volume in the first record?
  57.8 Å³/cell